Record 1
DFT (meta-GGA SCAN) results for a crystal of TaSbPb4 relaxed with PBEsol.

Cell lengths 8.6994, 8.6994, 8.6994 Å; angles 90.00, 90.00, 90.00 degrees
Last column: nearest neighbours and their distance in Å.
Space group F-43m (No. 216)
Inequivalent atoms, fractional coordinates:
Ta (0.0000, 0.0000, 0.0000) [4 per cell]  12 Pb 3.61, 4 Sb 3.77
Sb (0.2500, 0.2500, 0.2500) [4 per cell]  12 Pb 3.61, 4 Ta 3.77
Pb (0.1254, 0.1254, 0.6254) [16 per cell]  6 Pb 3.07-3.09

Output
**Spin magnetization**: 1.47 μB per formula unit
**ρ**: 11415 kg/m³
**Calculated volume**: 658.4 Å³ per cell
**Total DFT energy (no corrections)**: -66.90 eV per atom
**Formation energy without anion corrections**: 0.92 eV per atom

---

Record 2
DFT (meta-GGA SCAN) results for a crystal of Zn3Fe relaxed with PBEsol.

Cell lengths 2.5998, 3.7318, 5.2670 Å; angles 90.00, 90.00, 90.00 degrees
Last column: nearest neighbours and their distance in Å.
Space group Pmmm (No. 47)
Inequivalent atoms, fractional coordinates:
Zn (0.0000, 0.0000, 0.0000) [1 per cell]  10 Zn 2.60-2.66, 2 Fe 2.63
Zn (0.5000, 0.5000, 0.2634) [2 per cell]  8 Zn 2.49-2.77, 4 Fe 2.59
Fe (0.0000, 0.0000, 0.5000) [1 per cell]  10 Zn 2.59-2.63, 2 Fe 2.60

Output
**Spin magnetization**: 2.45 μB per formula unit
**ρ**: 8191 kg/m³
**Calculated volume**: 51.1 Å³ per cell
**Total DFT energy (no corrections)**: -14.66 eV per atom
**Calculated formation energy**: 0.05 eV/f.u.

---

Record 3
DFT (meta-GGA SCAN) results for a crystal of TlZnCr2 relaxed with PBEsol.

Cell lengths 2.9155, 2.9155, 25.8882 Å; angles 90.00, 90.00, 120.00 degrees
Last column: nearest neighbours and their distance in Å.
Space group R3m (No. 160, hexagonal axes)
Inequivalent atoms, fractional coordinates:
Tl (0.0000, 0.0000, 0.0000) [3 per cell]  6 Tl 2.92, 3 Cr 2.99, 3 Zn 3.12
Zn (0.0000, 0.0000, 0.2321) [3 per cell]  3 Cr 2.67, 6 Zn 2.92
Cr (0.0000, 0.0000, 0.4853) [3 per cell]  3 Cr 2.23
Cr (0.0000, 0.0000, 0.7623) [3 per cell]  3 Cr 2.23

Output
**Spin magnetization**: 0.32 μB per formula unit
**ρ**: 9771 kg/m³
**Calculated volume**: 190.6 Å³ per cell
**Total DFT energy (no corrections)**: -30.16 eV per atom
**Calculated formation energy**: 2.00 eV/f.u.